i) VASP calculation (PBE-GGA) on Sb2TePbAu after structural relaxation.

## Properties
Total magnetic moment in μB/atom: 0.001

Cell: 5.8054 5.8054 5.7437 Å, 90.00 90.00 90.00°
Fractional coordinates of all 5 atoms:
Pb  0.0000  0.0000  0.0000
Sb  0.0000  0.5000  0.0000
Sb  0.5000  0.0000  0.0000
Te  0.0000  0.0000  0.5000
Au  0.5000  0.5000  0.5000

ii) VASP calculation (PBE-GGA) on Sb2TePbAu after structural relaxation.

## Properties
Total magnetic moment in μB/atom: 0.000

Cell: 5.3848 5.3848 5.6072 Å, 90.00 90.00 90.00°
Fractional coordinates of all 5 atoms:
Pb  0.5000  0.5000  0.5000
Sb  0.0000  0.5000  0.0000
Sb  0.5000  0.0000  0.0000
Te  0.0000  0.0000  0.5000
Au  0.0000  0.0000  0.0000

Of them, the most stable is ii) and the least stable is i).

i) VASP calculation (PBE-GGA) on ScPb2Au after structural relaxation.

## Properties
Total magnetic moment in μB/atom: 0.179

Cell: 10.2179 10.2179 10.2179 Å, 19.22 19.22 19.22°
Each line ends with the local moment (μB).
Fractional coordinates of all 4 atoms:
Au  0.7500  0.7500  0.7500  0.01
Pb  0.0047  0.0047  0.0047  0.02
Pb  0.4953  0.4953  0.4953  0.02
Sc  0.2500  0.2500  0.2500  0.36

ii) VASP calculation (PBE-GGA) on ScPb2Au after structural relaxation.

## Properties
Total magnetic moment in μB/atom: 0.000

Cell: 4.6347 3.4506 6.2828 Å, 82.85 90.00 90.00°
Fractional coordinates of all 4 atoms:
Au  0.5000  0.7500  0.7500
Pb  0.0000  0.9140  0.0016
Pb  0.0000  0.5860  0.4984
Sc  0.5000  0.2500  0.2500

Of them, the most stable is ii) and the least stable is i).

i) VASP calculation (PBE-GGA) on ScPb2Au after structural relaxation.

## Properties
Total magnetic moment in μB/atom: 0.000

Cell: 5.8539 5.8539 5.8539 Å, 136.03 136.03 63.94°
Fractional coordinates of all 4 atoms:
Au  0.7500  0.2500  0.5000
Pb  0.0000  0.0000  0.0000
Pb  0.2500  0.7500  0.5000
Sc  0.5000  0.5000  0.0000

ii) VASP calculation (PBE-GGA) on ScPb2Au after structural relaxation.

## Properties
Total magnetic moment in μB/atom: 0.000

Cell: 5.8259 5.8259 5.8259 Å, 134.80 134.80 65.84°
Fractional coordinates of all 4 atoms:
Au  0.7500  0.2500  0.5000
Pb  0.0000  0.0000  0.0000
Pb  0.5000  0.5000  0.0000
Sc  0.2500  0.7500  0.5000

iii) VASP calculation (PBE-GGA) on ScPb2Au after structural relaxation.

## Properties
Total magnetic moment in μB/atom: 0.000

Cell: 9.4537 9.4537 9.4537 Å, 22.17 22.17 22.17°
Fractional coordinates of all 4 atoms:
Au  0.7581  0.7581  0.7581
Pb  0.0090  0.0090  0.0090
Pb  0.2442  0.2442  0.2442
Sc  0.4887  0.4887  0.4887

Of them, the most stable is i) and the least stable is ii).

i) VASP calculation (PBE-GGA) on Sc2Pb2Au after structural relaxation.

## Properties
Total magnetic moment in μB/atom: 0.000

Cell: 7.4850 7.4850 4.3184 Å, 90.00 90.00 90.00°
Fractional coordinates of all 10 atoms:
Pb  0.3568  0.8568  0.0000
Pb  0.8568  0.6432  0.0000
Pb  0.6432  0.1432  0.0000
Pb  0.1432  0.3568  0.0000
Sc  0.1651  0.6651  0.5000
Sc  0.6651  0.8349  0.5000
Sc  0.8349  0.3349  0.5000
Sc  0.3349  0.1651  0.5000
Au  0.0000  0.0000  0.0000
Au  0.5000  0.5000  0.0000

ii) VASP calculation (PBE-GGA) on Sc2Pb2Au after structural relaxation.

## Properties
Total magnetic moment in μB/atom: 0.000

Cell: 7.3728 7.3728 4.5947 Å, 90.00 90.00 90.00°
Fractional coordinates of all 10 atoms:
Pb  0.1535  0.6535  0.5000
Pb  0.6535  0.8465  0.5000
Pb  0.8465  0.3465  0.5000
Pb  0.3465  0.1535  0.5000
Sc  0.3413  0.8413  0.0000
Sc  0.8413  0.6587  0.0000
Sc  0.6587  0.1587  0.0000
Sc  0.1587  0.3413  0.0000
Au  0.0000  0.0000  0.0000
Au  0.5000  0.5000  0.0000

Of them, the most stable is ii) and the least stable is i).

i) VASP calculation (PBE-GGA) on ScPb3Au after structural relaxation.

## Properties
Total magnetic moment in μB/atom: 0.000

Cell: 5.5199 5.5199 5.5199 Å, 90.00 90.00 90.00°
Fractional coordinates of all 5 atoms:
Pb  0.0000  0.5000  0.0000
Pb  0.0000  0.0000  0.5000
Pb  0.5000  0.0000  0.0000
Sc  0.5000  0.5000  0.5000
Au  0.0000  0.0000  0.0000

ii) VASP calculation (PBE-GGA) on ScPb3Au after structural relaxation.

## Properties
Total magnetic moment in μB/atom: 0.000

Cell: 5.6009 5.6009 5.6009 Å, 90.00 90.00 90.00°
Fractional coordinates of all 5 atoms:
Pb  0.0000  0.5000  0.0000
Pb  0.0000  0.0000  0.5000
Pb  0.5000  0.0000  0.0000
Sc  0.0000  0.0000  0.0000
Au  0.5000  0.5000  0.5000

Of them, the most stable is i) and the least stable is ii).

i) VASP calculation (PBE-GGA) on Pb2Au2Se after structural relaxation.

## Properties
Total magnetic moment in μB/atom: 0.000

Cell: 7.6288 7.6288 4.2553 Å, 90.00 90.00 90.00°
Fractional coordinates of all 10 atoms:
Pb  0.1702  0.6702  0.5000
Pb  0.6702  0.8298  0.5000
Pb  0.8298  0.3298  0.5000
Pb  0.3298  0.1702  0.5000
Au  0.3685  0.8685  0.0000
Au  0.8685  0.6315  0.0000
Au  0.6315  0.1315  0.0000
Au  0.1315  0.3685  0.0000
Se  0.0000  0.0000  0.0000
Se  0.5000  0.5000  0.0000

ii) VASP calculation (PBE-GGA) on Pb2Au2Se after structural relaxation.

## Properties
Total magnetic moment in μB/atom: 0.000

Cell: 8.4426 8.4426 3.6496 Å, 90.00 90.00 90.00°
Fractional coordinates of all 10 atoms:
Pb  0.3084  0.8084  0.0000
Pb  0.8084  0.6916  0.0000
Pb  0.6916  0.1916  0.0000
Pb  0.1916  0.3084  0.0000
Au  0.1151  0.6151  0.5000
Au  0.6151  0.8849  0.5000
Au  0.8849  0.3849  0.5000
Au  0.3849  0.1151  0.5000
Se  0.0000  0.0000  0.0000
Se  0.5000  0.5000  0.0000

iii) VASP calculation (PBE-GGA) on Pb2Au2Se after structural relaxation.

## Properties
Total magnetic moment in μB/atom: 0.000

Cell: 3.9303 3.9303 8.7257 Å, 76.98 76.98 90.00°
Fractional coordinates of all 5 atoms:
Pb  0.3975  0.3975  0.2050
Pb  0.6025  0.6025  0.7950
Au  0.7500  0.2500  0.5000
Au  0.2500  0.7500  0.5000
Se  0.0000  0.0000  0.0000

Of them, the most stable is iii) and the least stable is ii).

i) VASP calculation (PBE-GGA) on Pb2AuSe2 after structural relaxation.

## Properties
Total magnetic moment in μB/atom: 0.000

Cell: 8.1944 8.1944 4.0501 Å, 90.00 90.00 90.00°
Fractional coordinates of all 10 atoms:
Pb  0.3409  0.8409  0.0000
Pb  0.8409  0.6591  0.0000
Pb  0.6591  0.1591  0.0000
Pb  0.1591  0.3409  0.0000
Au  0.0000  0.0000  0.0000
Au  0.5000  0.5000  0.0000
Se  0.1588  0.6588  0.5000
Se  0.6588  0.8412  0.5000
Se  0.8412  0.3412  0.5000
Se  0.3412  0.1588  0.5000

ii) VASP calculation (PBE-GGA) on Pb2AuSe2 after structural relaxation.

## Properties
Total magnetic moment in μB/atom: 0.000

Cell: 4.5613 4.5613 7.9339 Å, 73.29 73.29 90.00°
Fractional coordinates of all 5 atoms:
Pb  0.3810  0.3810  0.2380
Pb  0.6190  0.6190  0.7620
Au  0.0000  0.0000  0.0000
Se  0.7500  0.2500  0.5000
Se  0.2500  0.7500  0.5000

Of them, the most stable is i) and the least stable is ii).

i) VASP calculation (PBE-GGA) on SiPbAu2 after structural relaxation.

## Properties
Total magnetic moment in μB/atom: 0.000

Cell: 3.2732 3.2732 7.7012 Å, 90.00 90.00 90.01°
Fractional coordinates of all 4 atoms:
Au  0.0000  0.0000  0.9451
Au  0.0000  0.0000  0.5549
Pb  0.5000  0.5000  0.2500
Si  0.5000  0.5000  0.7500

ii) VASP calculation (PBE-GGA) on SiPbAu2 after structural relaxation.

## Properties
Total magnetic moment in μB/atom: 0.000

Cell: 7.3990 7.3990 7.3990 Å, 29.96 29.96 29.96°
Fractional coordinates of all 4 atoms:
Au  0.0106  0.0106  0.0106
Au  0.2595  0.2595  0.2595
Pb  0.5013  0.5013  0.5013
Si  0.7285  0.7285  0.7285

iii) VASP calculation (PBE-GGA) on SiPbAu2 after structural relaxation.

## Properties
Total magnetic moment in μB/atom: 0.000

Cell: 5.4493 5.4493 5.4493 Å, 141.13 120.92 73.00°
Fractional coordinates of all 4 atoms:
Au  0.0222  0.0222  0.0000
Au  0.7693  0.2693  0.5000
Pb  0.4931  0.4931  0.0000
Si  0.2154  0.7154  0.5000

iv) VASP calculation (PBE-GGA) on SiPbAu2 after structural relaxation.

## Properties
Total magnetic moment in μB/atom: 0.000

Cell: 3.9350 4.8457 4.8436 Å, 73.51 90.00 90.00°
Fractional coordinates of all 4 atoms:
Au  0.0000  0.9510  0.9510
Au  0.0000  0.5490  0.5490
Pb  0.5000  0.2500  0.2500
Si  0.5000  0.7500  0.7500

Of them, the most stable is ii) and the least stable is iii).

i) VASP calculation (PBE-GGA) on Si2Pb2Au after structural relaxation.

## Properties
Total magnetic moment in μB/atom: 0.000

Cell: 6.3891 6.3891 5.6871 Å, 90.00 90.00 90.00°
Fractional coordinates of all 10 atoms:
Pb  0.1857  0.6857  0.5000
Pb  0.6857  0.8143  0.5000
Pb  0.8143  0.3143  0.5000
Pb  0.3143  0.1857  0.5000
Si  0.3692  0.8692  0.0000
Si  0.8692  0.6308  0.0000
Si  0.6308  0.1308  0.0000
Si  0.1308  0.3692  0.0000
Au  0.0000  0.0000  0.0000
Au  0.5000  0.5000  0.0000

ii) VASP calculation (PBE-GGA) on Si2Pb2Au after structural relaxation.

## Properties
Total magnetic moment in μB/atom: 0.000

Cell: 3.5315 3.5315 9.5104 Å, 79.30 79.30 90.00°
Fractional coordinates of all 5 atoms:
Pb  0.3962  0.3962  0.2076
Pb  0.6038  0.6038  0.7924
Si  0.7500  0.2500  0.5000
Si  0.2500  0.7500  0.5000
Au  0.0000  0.0000  0.0000

Of them, the most stable is i) and the least stable is ii).

i) VASP calculation (PBE-GGA) on SmPb2Au after structural relaxation.

## Properties
Total magnetic moment in μB/atom: 0.000

Cell: 4.6165 4.7624 4.7624 Å, 90.00 90.00 90.00°
Fractional coordinates of all 4 atoms:
Pb  0.0000  0.0000  0.5000
Pb  0.0000  0.5000  0.0000
Au  0.5000  0.0000  0.0000
Sm  0.5000  0.5000  0.5000

ii) VASP calculation (PBE-GGA) on SmPb2Au after structural relaxation.

## Properties
Total magnetic moment in μB/atom: 0.000

Cell: 5.0310 5.0310 9.1791 Å, 105.90 105.90 90.00°
Fractional coordinates of all 8 atoms:
Sm  0.1406  0.1406  0.2813
Sm  0.8594  0.8594  0.7187
Pb  0.0000  0.5000  0.0000
Pb  0.5000  0.0000  0.0000
Pb  0.3586  0.3586  0.7173
Pb  0.6414  0.6414  0.2827
Au  0.2500  0.7500  0.5000
Au  0.7500  0.2500  0.5000

iii) VASP calculation (PBE-GGA) on SmPb2Au after structural relaxation.

## Properties
Total magnetic moment in μB/atom: 0.000

Cell: 3.5875 3.5875 10.9076 Å, 80.53 80.53 60.00°
Fractional coordinates of all 4 atoms:
Pb  0.0999  0.0999  0.7004
Pb  0.9001  0.9001  0.2996
Au  0.5000  0.5000  0.5000
Sm  0.0000  0.0000  0.0000

Of them, the most stable is ii) and the least stable is iii).

i) VASP calculation (PBE-GGA) on SmPbAu2 after structural relaxation.

## Properties
Total magnetic moment in μB/atom: 0.000

Cell: 3.8262 3.8262 6.6998 Å, 90.00 90.00 90.00°
Fractional coordinates of all 4 atoms:
Pb  0.5000  0.5000  0.5000
Au  0.0000  0.0000  0.7713
Au  0.0000  0.0000  0.2287
Sm  0.5000  0.5000  0.0000

ii) VASP calculation (PBE-GGA) on SmPbAu2 after structural relaxation.

## Properties
Total magnetic moment in μB/atom: 0.000

Cell: 5.1105 5.1105 5.1105 Å, 60.00 60.00 60.00°
Fractional coordinates of all 4 atoms:
Pb  0.0000  0.0000  0.0000
Au  0.2500  0.2500  0.2500
Au  0.7500  0.7500  0.7500
Sm  0.5000  0.5000  0.5000

Of them, the most stable is ii) and the least stable is i).